w.
GaIO2 | PBEsol | optimized geometry

Structure (POSCAR):
```
GaIO2
1.0
3.366 0.000 0.000
1.683 2.915 0.000
1.683 0.972 7.298
O I Ga
2 1 1
direct
0.922 0.922 0.234
0.078 0.078 0.766
0.500 0.500 0.500
0.000 0.000 0.000
```

Magnetic moment = 0.0 Bohr magnetons per cell

---

x.
GaIO2 | PBEsol | optimized geometry

Structure (POSCAR):
```
GaIO2
1.0
-2.902 2.909 3.578
-2.733 -4.107 -3.025
-1.405 -4.584 2.587
O I Ga
4 2 2
direct
0.875 0.250 0.487
0.263 0.750 0.875
0.487 0.750 0.375
0.375 0.250 0.263
0.000 0.000 0.000
0.750 0.500 0.750
0.500 0.000 0.500
0.250 0.500 0.250
```

Magnetic moment = 0.0 Bohr magnetons per cell

---

Most favorable structure: x. The second most favorable one is 744 meV per atom above it.